#a
A geometry-optimized Pm4PrNd2 structure, computed with PBE.

The structure in POSCAR format:
```
Pm4PrNd2
1.0
3.543 0.000 -0.593
-0.252 5.726 -1.505
0.210 0.130 12.144
Pm Nd Pr
4 2 1
Cartesian
3.316 2.491 8.941
1.221 5.036 7.303
2.280 0.820 2.744
0.185 3.366 1.106
2.476 4.202 3.917
1.025 1.654 6.129
0.000 0.000 0.000
```

=====

#b
A geometry-optimized Pm4PrNd2 structure, computed with PBE.

The structure in POSCAR format:
```
Pm4PrNd2
1.0
-2.528 -2.373 -1.205
-0.220 -0.787 -3.578
12.609 -16.796 1.036
Nd Pm Pr
2 4 1
Cartesian
7.822 -13.343 -1.311
2.040 -6.613 -2.436
8.833 -16.640 -2.531
3.056 -9.915 -3.654
6.805 -10.040 -0.093
1.028 -3.316 -1.216
0.000 0.000 0.000
```

=====

Quick one: most stable of them? #b

=====

#a
A geometry-optimized Pm3PrNd5 structure, computed with PBE.

The structure in POSCAR format:
```
Pm3PrNd5
1.0
9.402 1.903 -1.131
4.404 8.522 -1.131
3.023 2.283 8.913
Pm Pr Nd
6 2 10
Cartesian
5.115 3.862 1.674
4.256 3.214 6.032
0.000 0.000 0.000
11.714 8.845 4.978
1.512 1.141 4.457
12.573 9.494 0.620
2.225 1.680 1.164
14.604 11.027 5.488
7.021 5.301 7.443
7.934 5.991 1.767
6.023 6.378 -1.131
8.895 6.717 4.885
7.461 3.440 4.359
9.368 9.268 2.293
5.351 6.235 4.359
9.808 7.406 -0.791
7.783 4.047 -1.131
11.478 6.473 2.293
```

=====

#b
A geometry-optimized Pm3PrNd5 structure, computed with PBE.

The structure in POSCAR format:
```
Pm3PrNd5
1.0
6.273 0.000 0.000
-3.136 9.786 -4.575
0.000 -2.083 11.550
Nd Pm Pr
10 6 2
Cartesian
-1.150 5.227 6.739
3.728 -0.521 2.887
1.258 3.465 -1.403
1.878 4.238 8.378
4.286 2.475 0.236
2.545 -1.562 8.662
1.150 6.269 0.964
5.015 2.424 4.372
-1.878 5.279 2.603
1.987 1.434 6.011
0.000 -1.041 5.775
1.423 2.828 2.148
0.000 0.000 0.000
1.713 4.875 4.827
4.850 1.787 7.923
-1.713 5.916 -0.948
0.703 -0.521 2.887
5.570 -1.562 8.662
```

=====

Quick one: most stable of them? #b

=====

#a
A geometry-optimized Pm6Pr2Nd structure, computed with PBE.

The structure in POSCAR format:
```
Pm6Pr2Nd
1.0
5.475 0.000 1.969
2.662 6.154 1.195
-0.206 -0.316 9.171
Pr Pm Nd
2 6 1
Cartesian
4.791 2.648 3.870
3.139 3.190 8.464
5.535 4.506 10.400
2.396 1.331 1.935
7.657 5.082 4.498
3.828 0.515 6.548
0.273 0.756 7.837
4.102 5.323 5.786
1.228 2.919 5.183
```

=====

#b
A geometry-optimized Pm6Pr2Nd structure, computed with PBE.

The structure in POSCAR format:
```
Pm6Pr2Nd
1.0
6.233 -0.029 -0.016
0.035 7.696 0.008
0.035 3.841 6.669
Pm Nd Pr
6 1 2
Cartesian
1.864 9.371 5.423
4.451 5.510 1.241
1.852 7.687 2.501
1.852 5.998 5.419
4.451 3.821 4.159
4.439 2.137 1.237
0.000 0.000 0.000
4.940 7.667 4.437
1.363 3.841 2.223
```

=====

Quick one: most stable of them? #a

=====

#a
A geometry-optimized PmPr3Nd6 structure, computed with PBE.

The structure in POSCAR format:
```
PmPr3Nd6
1.0
6.532 0.000 0.000
0.000 11.123 -1.748
0.000 -4.186 10.452
Pr Pm Nd
6 2 12
Cartesian
0.559 1.688 5.771
3.825 5.249 2.933
6.282 -0.582 2.964
3.016 3.019 0.094
6.282 3.917 8.610
3.016 7.519 5.740
0.704 -1.284 8.140
3.970 8.221 0.565
0.968 6.849 1.658
5.713 5.021 -0.232
2.447 1.915 8.936
2.447 -1.347 4.843
3.633 4.022 6.333
2.340 10.603 -1.334
3.633 1.661 3.370
5.713 8.284 3.861
0.367 5.276 5.334
0.367 2.915 2.371
4.234 0.088 7.046
5.606 -3.667 10.038
```

=====

#b
A geometry-optimized PmPr3Nd6 structure, computed with PBE.

The structure in POSCAR format:
```
PmPr3Nd6
1.0
8.968 0.000 4.759
3.221 8.369 4.759
2.269 1.558 6.553
Nd Pm Pr
6 1 3
Cartesian
10.683 5.340 8.573
6.725 2.606 5.477
7.901 7.577 10.304
5.892 8.052 7.019
8.857 1.920 8.751
3.848 4.652 7.088
11.384 7.816 11.035
2.805 1.926 5.543
6.423 4.411 9.553
7.773 5.337 7.011
```

=====

Quick one: most stable of them? #a

=====

#a
A geometry-optimized PmPr7Nd2 structure, computed with PBE.

The structure in POSCAR format:
```
PmPr7Nd2
1.0
3.498 0.000 0.000
0.000 12.193 -9.598
0.000 -6.941 13.878
Pr Nd Pm
7 2 1
Cartesian
0.000 -1.021 6.615
1.749 2.055 5.584
1.749 2.626 2.140
1.749 3.197 -1.303
0.000 6.273 -2.334
1.749 5.883 0.887
1.749 -0.631 3.394
1.749 -2.996 9.037
1.749 8.248 -4.757
0.000 0.000 0.000
```

=====

#b
A geometry-optimized PmPr7Nd2 structure, computed with PBE.

The structure in POSCAR format:
```
PmPr7Nd2
1.0
5.648 0.000 0.000
0.000 9.479 -0.575
0.000 -4.789 8.200
Pr Pm Nd
7 1 2
Cartesian
2.824 2.462 0.390
2.824 2.227 7.235
0.000 6.270 1.398
0.000 -1.581 6.227
2.824 2.345 3.813
2.824 5.452 5.252
2.824 -0.762 2.373
0.000 0.000 0.000
2.824 -0.559 5.598
2.824 5.248 2.027
```

=====

Quick one: most stable of them? #a

=====

#a
A geometry-optimized PmPr2Nd4 structure, computed with PBE.

The structure in POSCAR format:
```
PmPr2Nd4
1.0
6.840 -1.842 0.942
0.672 8.354 2.048
-2.813 -1.233 8.000
Nd Pm Pr
8 2 4
Cartesian
1.619 5.455 3.796
1.878 1.846 3.958
3.080 -0.176 7.195
2.822 3.434 7.033
4.816 4.613 4.209
3.901 -0.105 1.995
0.798 5.384 8.995
-0.117 0.666 6.782
3.756 3.256 1.495
0.336 4.177 1.024
-1.407 -0.616 4.000
2.014 -1.537 4.471
0.000 0.000 0.000
-1.070 3.561 5.024
```

=====

#b
A geometry-optimized PmPr2Nd4 structure, computed with PBE.

The structure in POSCAR format:
```
PmPr2Nd4
1.0
3.689 0.000 0.000
1.845 3.195 0.000
1.845 1.065 21.028
Nd Pr Pm
4 2 1
Cartesian
5.534 3.195 9.016
1.845 1.065 2.975
5.534 3.195 18.053
1.845 1.065 12.012
3.689 2.130 15.031
3.689 2.130 5.997
0.000 0.000 0.000
```

=====

Quick one: most stable of them? #b

=====

#a
A geometry-optimized Pm4Pr4Nd3 structure, computed with PBE.

The structure in POSCAR format:
```
Pm4Pr4Nd3
1.0
5.864 0.000 0.000
-2.932 6.132 0.000
0.000 0.000 10.964
Pm Pr Nd
4 4 3
Cartesian
2.932 5.599 0.000
2.932 3.160 2.303
2.932 4.849 5.482
2.932 3.160 8.661
2.932 1.495 5.482
0.000 1.221 3.194
2.932 0.636 0.000
0.000 1.221 7.770
0.000 4.921 7.648
0.000 3.135 0.000
0.000 4.921 3.316
```

=====

#b
A geometry-optimized Pm4Pr4Nd3 structure, computed with PBE.

The structure in POSCAR format:
```
Pm4Pr4Nd3
1.0
-2.225 -2.875 0.426
2.613 -3.312 -8.719
8.203 -2.705 8.866
Pm Nd Pr
4 3 4
Cartesian
5.680 -4.677 -1.901
1.017 -4.136 -6.891
-0.628 -2.051 -1.402
2.911 -4.216 2.474
6.782 -7.643 -0.444
1.809 -1.249 1.017
1.306 -1.656 -4.359
5.496 -3.529 4.886
6.418 -4.698 1.809
2.173 -4.194 -1.236
3.095 -5.363 -4.314
```

=====

Quick one: most stable of them? #b

=====

#a
A geometry-optimized Pm3PrNd structure, computed with PBE.

The structure in POSCAR format:
```
Pm3PrNd
1.0
6.259 -0.068 -2.268
-1.127 11.399 -3.305
-1.336 -2.225 6.137
Pr Pm Nd
2 6 2
Cartesian
0.979 7.545 0.878
2.818 1.561 -0.313
4.113 8.464 -2.629
3.235 5.273 -0.986
3.087 0.229 2.912
0.709 8.877 -2.347
-0.317 0.641 3.193
0.562 3.833 1.550
0.000 0.000 0.000
-0.563 5.700 -1.653
```

=====

#b
A geometry-optimized Pm3PrNd structure, computed with PBE.

The structure in POSCAR format:
```
Pm3PrNd
1.0
3.670 0.000 0.000
0.000 10.302 1.406
-1.835 1.334 9.426
Pr Pm Nd
2 6 2
Cartesian
0.000 6.728 8.313
1.835 4.909 2.520
1.835 10.049 3.217
1.835 3.886 9.773
0.000 7.751 1.060
0.000 7.235 4.684
1.835 4.401 6.149
0.000 1.587 7.616
0.000 2.074 3.983
1.835 9.563 6.849
```

=====

Quick one: most stable of them? #b

=====

#a
A geometry-optimized Pm2PrNd6 structure, computed with PBE.

The structure in POSCAR format:
```
Pm2PrNd6
1.0
-3.372 0.967 0.745
-10.164 -4.890 -5.128
-8.787 -7.495 4.486
Nd Pr Pm
6 1 2
Cartesian
-14.989 -8.324 3.383
-11.391 -5.274 -1.552
-10.932 -6.143 1.655
-15.904 -6.594 -3.002
-7.334 -3.094 -3.280
-6.420 -4.824 3.104
0.000 0.000 0.000
-13.758 -7.933 -0.180
-8.565 -3.484 0.282
```

=====

#b
A geometry-optimized Pm2PrNd6 structure, computed with PBE.

The structure in POSCAR format:
```
Pm2PrNd6
1.0
8.317 0.000 0.000
0.000 8.317 0.000
0.000 0.000 10.638
Nd Pm Pr
12 4 2
Cartesian
6.338 1.979 7.091
6.138 6.138 8.866
6.338 1.979 3.547
2.179 2.179 8.866
6.138 6.138 1.772
6.348 1.969 0.000
1.969 6.348 0.000
6.128 6.128 5.319
2.179 2.179 1.772
1.979 6.338 7.091
1.979 6.338 3.547
2.190 2.190 5.319
0.000 0.000 1.777
4.159 4.159 7.096
4.159 4.159 3.542
0.000 0.000 8.861
0.000 0.000 5.319
4.159 4.159 0.000
```

=====

Quick one: most stable of them? #a

=====

#a
A geometry-optimized PmPr2Nd structure, computed with PBE.

The structure in POSCAR format:
```
PmPr2Nd
1.0
-0.705 -0.116 3.622
-3.443 -0.591 1.192
0.662 -12.113 1.622
Pm Nd Pr
1 1 2
Cartesian
0.000 0.000 0.000
-1.743 -6.410 3.218
-2.612 -9.626 4.827
-0.873 -3.194 1.609
```

=====

#b
A geometry-optimized PmPr2Nd structure, computed with PBE.

The structure in POSCAR format:
```
PmPr2Nd
1.0
-0.183 5.806 0.765
-2.626 3.399 -3.985
-5.078 2.628 1.280
Pr Nd Pm
2 1 1
Cartesian
-5.915 8.875 -1.455
-1.972 2.958 -0.485
-3.943 5.917 -0.970
0.000 0.000 0.000
```

=====

#c
A geometry-optimized PmPr2Nd structure, computed with PBE.

The structure in POSCAR format:
```
PmPr2Nd
1.0
3.605 0.000 0.000
0.000 5.757 0.000
-1.802 0.000 6.843
Pm Nd Pr
1 1 2
Cartesian
1.802 2.879 4.182
0.000 0.000 6.074
0.000 0.000 2.577
0.000 2.879 0.853
```

=====

Quick one: most stable of them? #a